# ZnRuW2

A geometry-optimized ZnRuW2 structure (PBE-GGA, Alexandria).

Summary:
DOS at the Fermi energy ... 2.96 states/eV per cell
SG ... No. 10
ΔE_f ... 0.148 eV per atom

CIF file:
```
data_ZnRuW2
_symmetry_space_group_name_H-M 'P 1'
_symmetry_Int_Tables_number 1
_cell_length_a 4.0239
_cell_length_b 2.7744
_cell_length_c 6.0371
_cell_angle_alpha 62.91
_cell_angle_beta 90.00
_cell_angle_gamma 90.00
loop_
_symmetry_equiv_pos_as_xyz
'x,y,z'
loop_
_atom_site_label
_atom_site_fract_x
_atom_site_fract_y
_atom_site_fract_z
_atom_site_occupancy
Ru1 0.5000 0.7500 0.7500 1
W1 0.0000 0.0040 0.9962 1
W2 0.0000 0.4960 0.5038 1
Zn1 0.5000 0.2500 0.2500 1
```